(1)
A relaxed structure of Mn2V2Ga, computed with PBE-GGA.

Calculated values
Polymorph energy (0 for the lowest one), meV/atom: 243
Calculated formation energy, meV per atom: 42.4
SG: No. 127

Cell lengths 6.7384, 6.7384, 2.9077 Å; angles 90.00, 90.00, 90.00 degrees
Element x y z (fractional)
1 Mn 0.8662 0.6338 0.0000
2 V 0.8296 0.3296 0.5000
3 Ga 0.0000 0.0000 0.0000
4 V 0.1704 0.6704 0.5000
5 Mn 0.1338 0.3662 0.0000
6 V 0.6704 0.8296 0.5000
7 Mn 0.3662 0.8662 0.0000
8 Mn 0.6338 0.1338 0.0000
9 Ga 0.5000 0.5000 0.0000
10 V 0.3296 0.1704 0.5000

(2)
A relaxed structure of Mn5VGa4, computed with PBE-GGA.

Calculated values
Calculated formation energy, meV per atom: -116.2
SG: No. 123

Cell lengths 2.8361, 2.8361, 16.3223 Å; angles 90.00, 90.00, 90.00 degrees
Element x y z (fractional)
1 Ga 0.0000 0.0000 0.8170
2 Ga 0.0000 0.0000 0.6075
3 Mn 0.5000 0.5000 0.9136
4 Ga 0.0000 0.0000 0.3925
5 Mn 0.5000 0.5000 0.5000
6 Ga 0.0000 0.0000 0.1830
7 Mn 0.5000 0.5000 0.7139
8 Mn 0.5000 0.5000 0.0864
9 V 0.0000 0.0000 0.0000
10 Mn 0.5000 0.5000 0.2861

(3)
A relaxed structure of MnV4Ga2, computed with PBE-GGA.

Calculated values
Calculated formation energy, meV per atom: 559.4
SG: No. 139

Cell lengths 4.1835, 4.1835, 7.2802 Å; angles 73.30, 73.30, 90.00 degrees
Element x y z (fractional)
1 V 0.1691 0.1691 0.6618
2 Mn 0.0000 0.0000 0.0000
3 V 0.0000 0.5000 0.0000
4 V 0.5000 0.0000 0.0000
5 V 0.8309 0.8309 0.3382
6 Ga 0.6367 0.6367 0.7266
7 Ga 0.3633 0.3633 0.2734

Result set for density: 7.1; 7.6; 5.7 g/cm3, one per record in the order listed.